No. 1
A geometry-optimized Th3TcTeN structure, computed with GGA-PBE.

Geometry as extended XYZ:
```
12
Lattice="9.119 0.000 0.000 0.000 4.161 0.000 -2.977 0.000 8.666" Properties=species:S:1:pos:R:3 pbc="T T T"
Th -0.354 1.040 2.560
Th 1.031 3.121 5.480
Th 0.078 1.040 8.427
Th 6.065 3.121 0.239
Th 5.111 1.040 3.186
Th 6.496 3.121 6.106
Tc -0.973 1.040 5.376
Tc 7.116 3.121 3.289
Te 2.420 3.121 2.404
Te 3.722 1.040 6.262
N 1.031 3.121 7.813
N 5.112 1.040 0.853
```

Results
ρ, Mg/m³: 9.45
D(E_F), states/eV/cell: 7.3
M_tot, μB per formula unit: 0.00
Raw formation energy, eV/atom: -0.928

---

No. 2
A geometry-optimized La2CuPdC structure, computed with GGA-PBE.

Geometry as extended XYZ:
```
5
Lattice="5.287 0.000 0.000 0.000 5.287 0.000 0.000 0.000 3.795" Properties=species:S:1:pos:R:3 pbc="T T T"
La 0.000 2.643 0.000
La 2.643 0.000 0.000
Cu 0.000 0.000 1.897
Pd 2.643 2.643 1.897
C 0.000 0.000 0.000
```

Results
ρ, Mg/m³: 7.20
Calculated formation energy, eV per atom: -0.301
D(E_F), states/eV/cell: 3.0
M_tot, μB per formula unit: 0.00

---

No. 3
A geometry-optimized Re3SbI structure, computed with GGA-PBE.

Geometry as extended XYZ:
```
5
Lattice="4.865 0.000 0.000 0.000 4.865 0.000 0.000 0.000 4.865" Properties=species:S:1:pos:R:3 pbc="T T T"
Re 0.000 0.000 2.432
Re 0.000 2.432 0.000
Re 2.432 0.000 0.000
Sb 2.432 2.432 2.432
I 0.000 0.000 0.000
```

Results
ρ, Mg/m³: 11.65
D(E_F), states/eV/cell: 5.9
M_tot, μB per formula unit: 1.25
Raw formation energy, eV/atom: 2.755